Entry w
Compound: V6CrTc
Source: Alexandria
Functional: GGA-PBE
Structure: relaxed

Results
As for the space group: Pm-3 (200).

Unit cell a=4.7626 b=4.7626 c=4.7626 alpha=90.00 beta=90.00 gamma=90.00
Last column: nearest neighbours and their distance in Å.
Element x y z (fractional)
V  0.0000  0.2535  0.5000  2 V 2.35-2.41
V  0.0000  0.7465  0.5000  2 V 2.35-2.41
V  0.2535  0.5000  0.0000  2 V 2.35-2.41
V  0.5000  0.0000  0.2535  2 V 2.35-2.41
V  0.5000  0.0000  0.7465  2 V 2.35-2.41
V  0.7465  0.5000  0.0000  2 V 2.35-2.41
Cr  0.5000  0.5000  0.5000  12 V 2.65
Tc  0.0000  0.0000  0.0000  12 V 2.67

=====

Entry x
Compound: V6CrTc
Source: Alexandria
Functional: GGA-PBE
Structure: relaxed

Results
As for the space group: Cmmm (65).

Unit cell a=5.1812 b=5.1812 c=4.1955 alpha=90.00 beta=90.00 gamma=109.45
Last column: nearest neighbours and their distance in Å.
Element x y z (fractional)
V  0.0000  0.5000  0.5000  4 V 2.58, 2 Cr 2.59, 2 Tc 2.59
V  0.2460  0.2460  0.0000  4 V 2.55-2.63, 2 Cr 2.56, 2 Tc 2.59
V  0.2464  0.7536  0.0000  8 V 2.55-2.63
V  0.5000  0.0000  0.5000  4 V 2.58, 2 Cr 2.59, 2 Tc 2.59
V  0.7536  0.2464  0.0000  8 V 2.55-2.63
V  0.7540  0.7540  0.0000  4 V 2.55-2.63, 2 Cr 2.56, 2 Tc 2.59
Cr  0.0000  0.0000  0.5000  8 V 2.56-2.59
Tc  0.5000  0.5000  0.5000  8 V 2.59

=====

Taking the most stable structure as the zero point, the relative energies in meV per atom are entry w 75; entry x 0.

=====

Entry w
Compound: V3CrTc
Source: Alexandria
Functional: GGA-PBE
Structure: relaxed

Results
As for the space group: Pm-3m (221).

Unit cell a=4.2342 b=4.2342 c=4.2342 alpha=90.00 beta=90.00 gamma=90.00
Last column: nearest neighbours and their distance in Å.
Element x y z (fractional)
V  0.0000  0.0000  0.5000  2 Cr 2.12
V  0.0000  0.5000  0.0000  2 Cr 2.12
V  0.5000  0.0000  0.0000  2 Cr 2.12
Cr  0.0000  0.0000  0.0000  6 V 2.12
Tc  0.5000  0.5000  0.5000  12 V 2.99

=====

Entry x
Compound: V3CrTc
Source: Alexandria
Functional: GGA-PBE
Structure: relaxed

Results
As for the space group: Cmcm (63).

Unit cell a=7.7354 b=7.7354 c=4.2046 alpha=90.00 beta=90.00 gamma=148.39
Last column: nearest neighbours and their distance in Å.
Element x y z (fractional)
V  0.0513  0.9487  0.7500  2 Cr 2.55, 2 Tc 2.57, 4 V 2.60-2.62
V  0.2496  0.7504  0.7500  4 Tc 2.58, 4 Cr 2.58-2.59
V  0.4471  0.5529  0.7500  2 Cr 2.54, 2 Tc 2.55, 4 V 2.62-2.63
V  0.5529  0.4471  0.2500  2 Cr 2.54, 2 Tc 2.55, 4 V 2.62-2.63
V  0.7504  0.2496  0.2500  4 Tc 2.58, 4 Cr 2.58-2.59
V  0.9487  0.0513  0.2500  2 Cr 2.55, 2 Tc 2.57, 4 V 2.60-2.62
Cr  0.1488  0.8512  0.2500  8 V 2.54-2.59
Cr  0.8512  0.1488  0.7500  8 V 2.54-2.59
Tc  0.3500  0.6500  0.2500  8 V 2.55-2.58
Tc  0.6500  0.3500  0.7500  8 V 2.55-2.58

=====

Entry y
Compound: V3CrTc
Source: Alexandria
Functional: GGA-PBE
Structure: relaxed

Results
As for the space group: R32 (155).

Unit cell a=6.7298 b=6.7298 c=6.7298 alpha=45.40 beta=45.40 gamma=45.40
Last column: nearest neighbours and their distance in Å.
Element x y z (fractional)
V  0.1112  0.1138  0.6002  2 Cr 2.44-2.50, 6 V 2.53-2.66, 2 Tc 2.64-2.65
V  0.1138  0.6002  0.1112  2 Cr 2.44-2.50, 6 V 2.53-2.66, 2 Tc 2.64-2.65
V  0.3998  0.8862  0.8888  2 Cr 2.44-2.50, 6 V 2.53-2.66, 2 Tc 2.64-2.65
V  0.6002  0.1112  0.1138  2 Cr 2.44-2.50, 6 V 2.53-2.66, 2 Tc 2.64-2.65
V  0.8862  0.8888  0.3998  2 Cr 2.44-2.50, 6 V 2.53-2.66, 2 Tc 2.64-2.65
V  0.8888  0.3998  0.8862  2 Cr 2.44-2.50, 6 V 2.53-2.66, 2 Tc 2.64-2.65
Cr  0.1672  0.1672  0.1672  6 V 2.44-2.50
Cr  0.8328  0.8328  0.8328  6 V 2.44-2.50
Tc  0.4197  0.4197  0.4197  6 V 2.64-2.65, 1 Tc 2.90
Tc  0.5803  0.5803  0.5803  6 V 2.64-2.65, 1 Tc 2.90

=====

Taking the most stable structure as the zero point, the relative energies in meV per atom are entry w 1200; entry x 0; entry y 590.

=====

Entry w
Compound: V8CrTc2
Source: Alexandria
Functional: GGA-PBE
Structure: relaxed

Results
As for the space group: C2/m (12).

Unit cell a=7.2511 b=7.2511 c=4.9595 alpha=90.60 beta=90.60 gamma=34.40
Last column: nearest neighbours and their distance in Å.
Element x y z (fractional)
V  0.0446  0.0446  0.2309  5 V 2.53-2.65, 1 Tc 2.55, 2 Cr 2.60
V  0.1351  0.1351  0.6846  7 V 2.53-2.62, 1 Tc 2.58
V  0.3207  0.3207  0.5867  1 Cr 2.53, 3 Tc 2.56-2.62, 4 V 2.61-2.63
V  0.4116  0.4116  0.0552  1 Cr 2.51, 6 V 2.52-2.65, 1 Tc 2.61
V  0.5884  0.5884  0.9448  1 Cr 2.51, 6 V 2.52-2.65, 1 Tc 2.61
V  0.6793  0.6793  0.4133  1 Cr 2.53, 3 Tc 2.56-2.62, 4 V 2.61-2.63
V  0.8649  0.8649  0.3154  7 V 2.53-2.62, 1 Tc 2.58
V  0.9554  0.9554  0.7691  5 V 2.53-2.65, 1 Tc 2.55, 2 Cr 2.60
Cr  0.5000  0.5000  0.5000  8 V 2.51-2.60
Tc  0.2258  0.2258  0.1407  6 V 2.55-2.62, 2 Tc 2.65
Tc  0.7742  0.7742  0.8593  6 V 2.55-2.62, 2 Tc 2.65

=====

Entry x
Compound: V8CrTc2
Source: Alexandria
Functional: GGA-PBE
Structure: relaxed

Results
As for the space group: C2/m (12).

Unit cell a=6.3654 b=6.3654 c=6.9100 alpha=118.04 beta=118.04 gamma=39.25
Last column: nearest neighbours and their distance in Å.
Element x y z (fractional)
V  0.0484  0.0484  0.3555  1 Tc 2.51, 2 Cr 2.55, 8 V 2.57-2.79
V  0.2003  0.2003  0.7965  3 Tc 2.54-2.67, 4 V 2.58-2.66
V  0.3163  0.3163  0.5565  1 Cr 2.42, 6 V 2.54-2.69, 1 Tc 2.71
V  0.4374  0.4374  0.1108  1 Cr 2.40, 2 Tc 2.53, 5 V 2.58-2.69
V  0.5626  0.5626  0.8892  1 Cr 2.40, 2 Tc 2.53, 5 V 2.58-2.69
V  0.6837  0.6837  0.4435  1 Cr 2.42, 6 V 2.54-2.69, 1 Tc 2.71
V  0.7997  0.7997  0.2035  3 Tc 2.54-2.67, 4 V 2.58-2.66
V  0.9516  0.9516  0.6445  1 Tc 2.51, 2 Cr 2.55, 8 V 2.57-2.79
Cr  0.5000  0.5000  0.5000  8 V 2.40-2.55
Tc  0.1485  0.1485  0.1112  7 V 2.51-2.71
Tc  0.8515  0.8515  0.8888  7 V 2.51-2.71

=====

Taking the most stable structure as the zero point, the relative energies in meV per atom are entry w 0; entry x 294.

=====

Entry w
Compound: VCr6Tc2
Source: Alexandria
Functional: GGA-PBE
Structure: relaxed

Results
As for the space group: C2/m (12).

Unit cell a=5.2270 b=5.2270 c=4.3552 alpha=99.69 beta=99.69 gamma=93.61
Last column: nearest neighbours and their distance in Å.
Element x y z (fractional)
V  0.0000  0.0000  0.0000  2 Tc 2.44, 4 Cr 2.55
Cr  0.1593  0.5046  0.8387  5 Cr 2.36-2.63, 2 Tc 2.54-2.55
Cr  0.1729  0.8271  0.5000  5 Cr 2.42-2.64, 2 V 2.55
Cr  0.4954  0.8407  0.1613  5 Cr 2.36-2.63, 2 Tc 2.54-2.55
Cr  0.5046  0.1593  0.8387  5 Cr 2.36-2.63, 2 Tc 2.54-2.55
Cr  0.8271  0.1729  0.5000  5 Cr 2.42-2.64, 2 V 2.55
Cr  0.8407  0.4954  0.1613  5 Cr 2.36-2.63, 2 Tc 2.54-2.55
Tc  0.3283  0.3283  0.3350  1 V 2.44, 1 Tc 2.52, 4 Cr 2.54-2.55
Tc  0.6717  0.6717  0.6650  1 V 2.44, 1 Tc 2.52, 4 Cr 2.54-2.55

=====

Entry x
Compound: VCr6Tc2
Source: Alexandria
Functional: GGA-PBE
Structure: relaxed

Results
As for the space group: C2/m (12).

Unit cell a=4.8620 b=4.8620 c=8.7563 alpha=108.00 beta=108.00 gamma=35.02
Last column: nearest neighbours and their distance in Å.
Element x y z (fractional)
V  0.0000  0.0000  0.0000  4 Cr 2.52, 4 Tc 2.55
Cr  0.0033  0.0033  0.6631  6 Cr 2.48-2.52, 2 Tc 2.58
Cr  0.3357  0.3357  0.1112  4 Cr 2.52-2.54, 2 V 2.52, 2 Tc 2.56
Cr  0.3375  0.3375  0.4494  6 Cr 2.48-2.55, 2 Tc 2.54
Cr  0.6625  0.6625  0.5506  6 Cr 2.48-2.55, 2 Tc 2.54
Cr  0.6643  0.6643  0.8888  4 Cr 2.52-2.54, 2 V 2.52, 2 Tc 2.56
Cr  0.9967  0.9967  0.3369  6 Cr 2.48-2.52, 2 Tc 2.58
Tc  0.3310  0.3310  0.7747  6 Cr 2.54-2.58, 2 V 2.55
Tc  0.6690  0.6690  0.2253  6 Cr 2.54-2.58, 2 V 2.55

=====

Taking the most stable structure as the zero point, the relative energies in meV per atom are entry w 261; entry x 0.

=====

Entry w
Compound: V6Cr2Tc
Source: Alexandria
Functional: GGA-PBE
Structure: relaxed

Results
As for the space group: C2/m (12).

Unit cell a=7.0497 b=7.0497 c=3.9340 alpha=106.07 beta=106.07 gamma=48.10
Last column: nearest neighbours and their distance in Å.
Element x y z (fractional)
V  0.0744  0.5862  0.3304  3 Cr 2.42-2.48, 1 Tc 2.55
V  0.2384  0.7616  0.0000  2 Cr 2.47, 2 Tc 2.48, 1 V 2.74
V  0.4138  0.9256  0.6696  3 Cr 2.42-2.48, 1 Tc 2.55
V  0.5862  0.0744  0.3304  3 Cr 2.42-2.48, 1 Tc 2.55
V  0.7616  0.2384  0.0000  2 Cr 2.47, 2 Tc 2.48, 1 V 2.74
V  0.9256  0.4138  0.6696  3 Cr 2.42-2.48, 1 Tc 2.55
Cr  0.1671  0.1671  0.1670  8 V 2.42-2.48
Cr  0.8329  0.8329  0.8330  8 V 2.42-2.48
Tc  0.5000  0.5000  0.5000  8 V 2.48-2.55

=====

Entry x
Compound: V6Cr2Tc
Source: Alexandria
Functional: GGA-PBE
Structure: relaxed

Results
As for the space group: P-1 (2).

Unit cell a=2.5343 b=6.6724 c=7.3357 alpha=101.59 beta=90.85 gamma=100.48
Last column: nearest neighbours and their distance in Å.
Element x y z (fractional)
V  0.0378  0.1679  0.1174  1 Cr 2.46, 3 V 2.51-2.53, 1 Tc 2.62
V  0.2911  0.4943  0.6611  2 Cr 2.47-2.63, 1 Tc 2.53, 5 V 2.53-2.77
V  0.3901  0.8417  0.2355  2 Cr 2.44-2.49, 2 V 2.53, 1 Tc 2.63
V  0.6099  0.1583  0.7645  2 Cr 2.44-2.49, 2 V 2.53, 1 Tc 2.63
V  0.7089  0.5057  0.3389  2 Cr 2.47-2.63, 1 Tc 2.53, 5 V 2.53-2.77
V  0.9622  0.8321  0.8826  1 Cr 2.46, 3 V 2.51-2.53, 1 Tc 2.62
Cr  0.1319  0.8331  0.5532  5 V 2.44-2.63, 3 Cr 2.53-2.69
Cr  0.8681  0.1669  0.4468  5 V 2.44-2.63, 3 Cr 2.53-2.69
Tc  0.5000  0.5000  0.0000  6 V 2.53-2.63, 2 Tc 2.53

=====

Taking the most stable structure as the zero point, the relative energies in meV per atom are entry w 609; entry x 0.

=====

Entry w
Compound: Cr2TcW
Source: Alexandria
Functional: GGA-PBE
Structure: relaxed

Results
As for the space group: Cmm2 (35).

Unit cell a=2.6451 b=2.6451 c=8.3592 alpha=90.00 beta=90.00 gamma=110.45
Last column: nearest neighbours and their distance in Å.
Element x y z (fractional)
Cr  0.0000  0.0000  0.0000  6 Cr 2.40-2.65, 2 Tc 2.56
Cr  0.5000  0.5000  0.2238  6 Cr 2.40-2.65, 2 W 2.61
Tc  0.5000  0.5000  0.7528  2 Cr 2.56, 4 Tc 2.65, 2 W 2.74
W  0.0000  0.0000  0.4792  2 Cr 2.61, 4 W 2.65, 2 Tc 2.74

=====

Entry x
Compound: Cr2TcW
Source: Alexandria
Functional: GGA-PBE
Structure: relaxed

Results
As for the space group: Pm (6).

Unit cell a=2.6439 b=4.2228 c=4.9817 alpha=90.00 beta=100.41 gamma=90.00
Last column: nearest neighbours and their distance in Å.
Element x y z (fractional)
Cr  0.0000  0.0000  0.0000  4 Cr 2.54-2.64, 2 W 2.55-2.65, 2 Tc 2.60
Cr  0.2425  0.5000  0.7678  2 Tc 2.50-2.70, 4 Cr 2.54-2.64, 2 W 2.60
Tc  0.7335  0.5000  0.2461  4 Cr 2.50-2.70, 2 W 2.64, 2 Tc 2.64
W  0.4879  0.0000  0.5135  4 Cr 2.55-2.65, 2 Tc 2.64, 2 W 2.64

=====

Taking the most stable structure as the zero point, the relative energies in meV per atom are entry w 26; entry x 0.

=====

Entry w
Compound: Cr2TcW
Source: Alexandria
Functional: GGA-PBE
Structure: relaxed

Results
As for the space group: R-3m (166).

Unit cell a=8.9388 b=8.9388 c=8.9388 alpha=17.40 beta=17.40 gamma=17.40
Last column: nearest neighbours and their distance in Å.
Element x y z (fractional)
Cr  0.2463  0.2463  0.2463  3 Tc 2.62, 6 Cr 2.70, 3 W 2.78
Cr  0.7537  0.7537  0.7537  3 Tc 2.62, 6 Cr 2.70, 3 W 2.78
Tc  0.5000  0.5000  0.5000  6 Cr 2.62, 6 Tc 2.70
W  0.0000  0.0000  0.0000  6 W 2.70, 6 Cr 2.78

=====

Entry x
Compound: Cr2TcW
Source: Alexandria
Functional: GGA-PBE
Structure: relaxed

Results
As for the space group: C2/m (12).

Unit cell a=4.9559 b=4.9559 c=2.6417 alpha=100.33 beta=100.33 gamma=116.04
Last column: nearest neighbours and their distance in Å.
Element x y z (fractional)
Cr  0.0000  0.5000  0.0000  2 W 2.59, 2 Tc 2.59, 4 Cr 2.62-2.64
Cr  0.5000  0.0000  0.0000  2 W 2.59, 2 Tc 2.59, 4 Cr 2.62-2.64
Tc  0.0000  0.0000  0.5000  4 Cr 2.59, 2 W 2.62, 2 Tc 2.64
W  0.5000  0.5000  0.5000  4 Cr 2.59, 2 Tc 2.62, 2 W 2.64

=====

Taking the most stable structure as the zero point, the relative energies in meV per atom are entry w 254; entry x 0.

=====

Entry w
Compound: Cr2Tc2W
Source: Alexandria
Functional: GGA-PBE
Structure: relaxed

Results
As for the space group: I4/mmm (139).

Unit cell a=5.8442 b=5.8442 c=5.8442 alpha=141.57 beta=141.57 gamma=55.48
Last column: nearest neighbours and their distance in Å.
Element x y z (fractional)
Cr  0.2500  0.7500  0.5000  4 Tc 2.38
Cr  0.7500  0.2500  0.5000  4 Tc 2.38
Tc  0.1149  0.1149  0.0000  1 Tc 2.38, 4 Cr 2.38
Tc  0.8851  0.8851  0.0000  1 Tc 2.38, 4 Cr 2.38
W  0.5000  0.5000  0.0000  8 Tc 2.97, 8 Cr 3.22

=====

Entry x
Compound: Cr2Tc2W
Source: Alexandria
Functional: GGA-PBE
Structure: relaxed

Results
As for the space group: P4/mbm (127).

Unit cell a=7.1660 b=7.1660 c=2.7550 alpha=90.00 beta=90.00 gamma=90.00
Last column: nearest neighbours and their distance in Å.
Element x y z (fractional)
Cr  0.1673  0.3327  0.0000  6 Tc 2.43-2.58
Cr  0.3327  0.8327  0.0000  6 Tc 2.43-2.58
Cr  0.6673  0.1673  0.0000  6 Tc 2.43-2.58
Cr  0.8327  0.6673  0.0000  6 Tc 2.43-2.58
Tc  0.1352  0.6352  0.5000  6 Cr 2.43-2.58
Tc  0.3648  0.1352  0.5000  6 Cr 2.43-2.58
Tc  0.6352  0.8648  0.5000  6 Cr 2.43-2.58
Tc  0.8648  0.3648  0.5000  6 Cr 2.43-2.58
W  0.0000  0.0000  0.5000  2 W 2.76, 4 Tc 2.79, 8 Cr 3.00
W  0.5000  0.5000  0.5000  2 W 2.76, 4 Tc 2.79, 8 Cr 3.00

=====

Taking the most stable structure as the zero point, the relative energies in meV per atom are entry w 382; entry x 0.